# 1
{"formula": "NaPrTmTl", "functional": "PBE", "state": "relaxed", "lattice": [[0.000, 3.874, 3.874], [3.874, 0.000, 3.874], [3.874, 3.874, 0.000]], "species": ["Na", "Pr", "Tm", "Tl"], "fractional_positions": [[0.000, 0.000, 0.000], [0.750, 0.750, 0.750], [0.250, 0.250, 0.250], [0.500, 0.500, 0.500]], "delta_e_f_mev_per_atom": -56, "dos_at_fermi_per_ev_atom": 1.162}

=====

# 2
{"formula": "SnH2Pb", "functional": "PBE", "state": "relaxed", "lattice": [[-2.327, 2.327, 6.474], [2.327, -2.327, 6.474], [2.327, 2.327, -6.474]], "species": ["Sn", "Sn", "H", "H", "H", "H", "Pb", "Pb"], "fractional_positions": [[0.000, 0.000, 0.000], [0.750, 0.250, 0.500], [0.009, 0.625, 0.884], [0.375, 0.259, 0.384], [0.741, 0.125, 0.116], [0.875, 0.991, 0.616], [0.250, 0.750, 0.500], [0.500, 0.500, 0.000]], "relative_energy_ev_per_fu": 0.07, "dos_at_fermi_per_ev_atom": 0.248}

=====

# 3
{"formula": "HfAlIn2", "functional": "PBE", "state": "relaxed", "lattice": [[4.346, 0.000, 0.000], [0.000, 4.346, 0.000], [0.000, 0.000, 4.400]], "species": ["Hf", "Al", "In", "In"], "fractional_positions": [[0.000, 0.000, 0.000], [0.500, 0.500, 0.000], [0.000, 0.500, 0.500], [0.500, 0.000, 0.500]], "delta_e_f_mev_per_atom": -81, "dos_at_fermi_per_ev_atom": 0.373}

=====

# 4
{"formula": "Y2P7Pd12", "functional": "PBE", "state": "relaxed", "lattice": [[9.780, 0.000, 0.000], [-4.890, 8.469, 0.000], [0.000, 0.000, 4.002]], "species": ["Y", "Y", "P", "P", "P", "P", "P", "P", "P", "Pd", "Pd", "Pd", "Pd", "Pd", "Pd", "Pd", "Pd", "Pd", "Pd", "Pd", "Pd"], "fractional_positions": [[0.333, 0.667, 0.249], [0.667, 0.333, 0.751], [0.000, 0.000, 0.000], [0.120, 0.414, 0.749], [0.294, 0.880, 0.749], [0.414, 0.294, 0.251], [0.586, 0.706, 0.749], [0.706, 0.120, 0.251], [0.880, 0.586, 0.251], [0.064, 0.622, 0.751], [0.105, 0.854, 0.260], [0.146, 0.250, 0.260], [0.250, 0.105, 0.740], [0.378, 0.441, 0.751], [0.441, 0.064, 0.249], [0.559, 0.936, 0.751], [0.622, 0.559, 0.249], [0.750, 0.895, 0.260], [0.854, 0.750, 0.740], [0.895, 0.146, 0.740], [0.936, 0.378, 0.249]], "delta_e_f_mev_per_atom": -692, "dos_at_fermi_per_ev_atom": 0.500}